# 1
{"formula": "V3SI", "functional": "PBE", "state": "relaxed", "spacegroup": "No. 221", "e_above_lowest_polymorph_mev_per_atom": 0.0, "lattice_angstrom": [[-1.121, -3.824, 1.895], [1.979, 1.270, 3.733], [-3.781, 1.799, 1.393]], "species": ["I", "S", "V", "V", "V"], "frac_coords": [[0.500, 0.500, 0.500], [0.000, 0.000, 0.000], [0.000, 0.500, 0.000], [0.000, 0.000, 0.500], [0.500, 0.000, 0.000]]}


# 2
{"formula": "VSI2", "functional": "PBE", "state": "relaxed", "spacegroup": "No. 225", "lattice_angstrom": [[0.000, 3.604, 3.604], [3.604, 0.000, 3.604], [3.604, 3.604, 0.000]], "species": ["I", "I", "S", "V"], "frac_coords": [[0.250, 0.250, 0.250], [0.750, 0.750, 0.750], [0.000, 0.000, 0.000], [0.500, 0.500, 0.500]]}


# 3
{"formula": "V4S8I", "functional": "PBE", "state": "relaxed", "spacegroup": "No. 166", "lattice_angstrom": [[6.020, 0.000, 2.026], [2.669, 5.395, 2.026], [0.218, 0.135, 9.310]], "species": ["V", "V", "V", "V", "S", "S", "S", "S", "S", "S", "S", "S", "I"], "frac_coords": [[0.500, 0.000, 0.000], [0.500, 0.500, 0.000], [0.000, 0.500, 0.000], [0.000, 0.000, 0.000], [0.775, 0.278, 0.172], [0.722, 0.225, 0.828], [0.225, 0.722, 0.828], [0.225, 0.225, 0.828], [0.276, 0.276, 0.173], [0.724, 0.724, 0.827], [0.775, 0.775, 0.172], [0.278, 0.775, 0.172], [0.500, 0.500, 0.500]]}


Q: Which uncorrected energy values were calculated for the entries above? A: -30.989; -13.893; -80.707, in eV for the cell shown.